No. 1
The following is a DFT calculation (SCAN) of LiCl at its PBEsol-relaxed geometry.

a b c (Å): 4.352 4.352 3.996
angles (deg): 90.00 90.00 90.00
Sites, in units of the cell vectors:
Cl: 0.500 0.000 0.242
Cl: 0.000 0.500 0.758
Li: 0.500 0.500 0.000
Li: 0.000 0.000 0.000

Summary:
ΔE_f (raw) (eV/f.u.): -3.91
Space group: P4/nmm (129)


No. 2
The following is a DFT calculation (SCAN) of LiCl at its PBEsol-relaxed geometry.

a b c (Å): 3.998 3.998 18.875
angles (deg): 90.00 90.00 120.00
Sites, in units of the cell vectors:
Li: 0.000 0.000 0.110
Li: 0.667 0.333 0.555
Li: 0.333 0.667 0.220
Li: 0.667 0.333 0.780
Li: 0.000 0.000 0.890
Li: 0.333 0.667 0.445
Cl: 0.667 0.333 0.909
Cl: 0.000 0.000 0.761
Cl: 0.333 0.667 0.574
Cl: 0.000 0.000 0.239
Cl: 0.333 0.667 0.091
Cl: 0.667 0.333 0.426

Summary:
ΔE_f (raw) (eV/f.u.): -3.94
Space group: P-3m1 (164)


No. 3
The following is a DFT calculation (SCAN) of LiCl at its PBEsol-relaxed geometry.

a b c (Å): 3.891 3.891 6.129
angles (deg): 90.00 90.00 120.00
Sites, in units of the cell vectors:
Cl: 0.667 0.333 0.021
Cl: 0.333 0.667 0.521
Li: 0.333 0.667 0.906
Li: 0.667 0.333 0.406

Summary:
ΔE_f (raw) (eV/f.u.): -4.04
Space group: P6_3mc (186)